Entry 1:
# ZnH2Br2

Crystalline ZnH2Br2 at its relaxed geometry (PBEsol, the Alexandria database).

Summary:
E_tot in eV for the cell shown: -9.680
Theoretical density in g/cm³: 5.05
Total magnetic moment in μB per cell: 0.00

Cell: 3.5805 3.5805 6.3534 Å, 106.37 106.37 90.00°
Last column: nearest neighbours and their distance in Å.
Fractional coordinates of all 5 atoms:
Br (0.3470, 0.3470, 0.6941)  4 H 2.12
Br (0.6530, 0.6530, 0.3059)  4 H 2.12
Zn (0.0000, 0.0000, 0.0000)  8 Br 3.10, 8 H 3.42
H (0.2500, 0.7500, 0.5000)  4 Br 2.12
H (0.7500, 0.2500, 0.5000)  4 Br 2.12

---

Entry 2:
# TcAs2

Crystalline TcAs2 at its relaxed geometry (PBEsol, the Alexandria database).

Summary:
Polymorph energy (0 for the lowest one) in eV per atom: 0.095
Theoretical density in g/cm³: 8.58
Total magnetic moment in μB per cell: 0.00
Calculated formation energy in eV/atom: -0.117

Cell: 3.1607 4.8353 6.4762 Å, 90.00 104.12 90.00°
Last column: nearest neighbours and their distance in Å.
Fractional coordinates of all 6 atoms:
As (0.3560, 0.2500, 0.7121)  4 Tc 2.50-2.52
As (0.9586, 0.7500, 0.9172)  2 Tc 2.56, 4 As 2.63-2.81
As (0.0414, 0.2500, 0.0828)  2 Tc 2.56, 4 As 2.63-2.81
As (0.6440, 0.7500, 0.2879)  4 Tc 2.50-2.52
Tc (0.2984, 0.7500, 0.5969)  6 As 2.50-2.56
Tc (0.7016, 0.2500, 0.4031)  6 As 2.50-2.56

---

Entry 3:
# BaTlRh2

Crystalline BaTlRh2 at its relaxed geometry (PBEsol, the Alexandria database).

Summary:
Theoretical density in g/cm³: 9.96
Total magnetic moment in μB per cell: 0.00
Calculated formation energy in eV/atom: 0.071

Cell: 4.1239 4.1751 5.6901 Å, 90.00 111.25 90.00°
Last column: nearest neighbours and their distance in Å.
Fractional coordinates of all 4 atoms:
Rh (0.8069, 0.0000, 0.6138)  2 Rh 2.49
Rh (0.6795, 0.5000, 0.3591)  2 Rh 2.49
Ba (0.4051, 0.5000, 0.8103)  7 Rh 2.91-3.16
Tl (0.1146, 0.0000, 0.2292)  6 Rh 2.90-3.01

---

Entry 4:
# MnReAg

Crystalline MnReAg at its relaxed geometry (PBEsol, the Alexandria database).

Summary:
Polymorph energy (0 for the lowest one) in eV per atom: 0.056
Theoretical density in g/cm³: 13.65
Total magnetic moment in μB per cell: 0.00
Calculated formation energy in eV/atom: 0.427

Cell: 2.8064 2.8064 5.7434 Å, 104.14 104.14 90.00°
Last column: nearest neighbours and their distance in Å.
Fractional coordinates of all 3 atoms:
Ag (0.0061, 0.0061, 0.0122)  4 Mn 2.76, 4 Ag 2.81, 4 Re 2.90
Re (0.3097, 0.3097, 0.6194)  4 Mn 2.40
Mn (0.6842, 0.6842, 0.3684)  4 Re 2.40